No. 1
The following is a DFT calculation (GGA-PBE) of a geometry-optimized LiZn3Au3 structure.

DOS at the Fermi energy ... 0.195 states/eV per atom
Energy above the lowest structure with this stoichiometry ... 11.4 meV per atom
Calculated volume ... 17.15 A^3/atom
Total magnetization ... 0.00 μB per formula unit

a = 8.848 Å, b = 9.307 Å, c = 5.830 Å
α = 90.00°, β = 90.00°, γ = 90.00°
Space group Cmmm (No. 65)
One atom of each set of equivalent atoms:
Li1 0.219 0.000 0.000 [4 per cell]
Zn1 0.000 0.179 0.500 [4 per cell]
Zn2 0.000 0.255 0.000 [4 per cell]
Zn3 0.238 0.000 0.500 [4 per cell]
Au1 0.000 0.500 0.254 [4 per cell]
Au2 0.250 0.250 0.251 [8 per cell]

No. 2
The following is a DFT calculation (GGA-PBE) of a geometry-optimized Ac2USe3S3 structure.

DOS at the Fermi energy ... 0.582 states/eV per atom
Calculated volume ... 25.05 A^3/atom
Total magnetization ... 0.37 μB per formula unit
Raw formation energy ... -1.5106 eV/atom

a = 7.9529 Å, b = 7.9529 Å, c = 4.1152 Å
α = 90.00°, β = 90.00°, γ = 120.00°
Space group P-62m (No. 189)
One atom of each set of equivalent atoms:
Ac1 0.3333 0.6667 0.0000 [2 per cell]
U1 0.0000 0.0000 0.5000 [1 per cell]
Se1 0.0000 0.7611 0.0000 [3 per cell]
S1 0.0000 0.3990 0.5000 [3 per cell]

No. 3
The following is a DFT calculation (GGA-PBE) of a geometry-optimized Li7B18O structure.

DOS at the Fermi energy ... 0.185 states/eV per atom
Calculated volume ... 9.18 A^3/atom
Total magnetization ... 0.00 μB per formula unit
Raw formation energy ... -0.3854 eV/atom

a = 8.178 Å, b = 4.115 Å, c = 8.179 Å
α = 90.00°, β = 119.89°, γ = 90.00°
Space group Pm (No. 6)
One atom of each set of equivalent atoms:
Li1 0.000 0.000 0.000 [1 per cell]
Li2 0.064 0.000 0.598 [1 per cell]
Li3 0.406 0.000 0.255 [1 per cell]
Li4 0.471 0.000 0.854 [1 per cell]
Li5 0.658 0.000 0.661 [1 per cell]
Li6 0.737 0.500 0.927 [1 per cell]
Li7 0.812 0.000 0.192 [1 per cell]
B1 0.061 0.500 0.804 [1 per cell]
B2 0.063 0.500 0.376 [1 per cell]
B3 0.185 0.500 0.254 [1 per cell]
B4 0.187 0.500 0.050 [1 per cell]
B5 0.235 0.199 0.426 [2 per cell]
B6 0.235 0.202 0.926 [2 per cell]
B7 0.282 0.500 0.803 [1 per cell]
B8 0.285 0.500 0.598 [1 per cell]
B9 0.407 0.500 0.476 [1 per cell]
B10 0.408 0.500 0.048 [1 per cell]
B11 0.611 0.500 0.474 [1 per cell]
B12 0.613 0.500 0.253 [1 per cell]
B13 0.735 0.201 0.426 [2 per cell]
B14 0.857 0.500 0.600 [1 per cell]
B15 0.858 0.500 0.379 [1 per cell]
O1 0.736 0.000 0.927 [1 per cell]

No. 4
The following is a DFT calculation (GGA-PBE) of a geometry-optimized Zr3PtS structure.

DOS at the Fermi energy ... 0.762 states/eV per atom
Energy above the lowest structure with this stoichiometry ... 0.0 meV per atom
Calculated volume ... 19.42 A^3/atom
Total magnetization ... 0.00 μB per formula unit
Raw formation energy ... -0.9624 eV/atom

a = 6.582 Å, b = 3.616 Å, c = 8.288 Å
α = 90.00°, β = 100.09°, γ = 90.00°
Space group P2_1/m (No. 11)
One atom of each set of equivalent atoms:
Zr1 0.027 0.250 0.172 [2 per cell]
Zr2 0.318 0.750 0.421 [2 per cell]
Zr3 0.449 0.750 0.817 [2 per cell]
Pt1 0.157 0.250 0.622 [2 per cell]
S1 0.268 0.750 0.082 [2 per cell]

No. 5
The following is a DFT calculation (GGA-PBE) of a geometry-optimized Li2CaSb2 structure.

DOS at the Fermi energy ... 0.291 states/eV per atom
Energy above the lowest structure with this stoichiometry ... 66.0 meV per atom
Calculated volume ... 22.77 A^3/atom
Total magnetization ... 0.00 μB per formula unit
Raw formation energy ... -0.6145 eV/atom

a = 8.292 Å, b = 8.292 Å, c = 3.311 Å
α = 90.00°, β = 90.00°, γ = 90.00°
Space group P4/mbm (No. 127)
One atom of each set of equivalent atoms:
Li1 0.113 0.387 0.000 [4 per cell]
Ca1 0.000 0.000 0.000 [2 per cell]
Sb1 0.182 0.682 0.500 [4 per cell]

No. 6
The following is a DFT calculation (GGA-PBE) of a geometry-optimized Ta3CuAg structure.

DOS at the Fermi energy ... 1.638 states/eV per atom
Energy above the lowest structure with this stoichiometry ... 949.2 meV per atom
Calculated volume ... 23.21 A^3/atom
Total magnetization ... 0.00 μB per formula unit

a = 4.878 Å, b = 4.878 Å, c = 4.878 Å
α = 90.00°, β = 90.00°, γ = 90.00°
Space group Pm-3m (No. 221)
One atom of each set of equivalent atoms:
Ta1 0.000 0.000 0.500 [3 per cell]
Cu1 0.500 0.500 0.500 [1 per cell]
Ag1 0.000 0.000 0.000 [1 per cell]

No. 7
The following is a DFT calculation (GGA-PBE) of a geometry-optimized LaPr6Nd2Ho structure.

E ... -4.665 eV/atom
DOS at the Fermi energy ... 1.529 states/eV per atom
Calculated volume ... 35.91 A^3/atom
Total magnetization ... 0.00 μB per formula unit

a = 9.374 Å, b = 15.513 Å, c = 9.977 Å
α = 90.00°, β = 98.14°, γ = 90.00°
Space group C2/c (No. 15)
One atom of each set of equivalent atoms:
La1 0.000 0.020 0.250 [4 per cell]
Pr1 0.067 0.186 0.945 [8 per cell]
Pr2 0.098 0.396 0.118 [8 per cell]
Pr3 0.210 0.222 0.312 [8 per cell]
Nd1 0.246 0.049 0.545 [8 per cell]
Ho1 0.000 0.409 0.750 [4 per cell]

No. 8
The following is a DFT calculation (GGA-PBE) of a geometry-optimized ScTcPt2 structure.

DOS at the Fermi energy ... 0.944 states/eV per atom
Energy above the lowest structure with this stoichiometry ... 183.4 meV per atom
Calculated volume ... 16.57 A^3/atom
Total magnetization ... 0.60 μB per formula unit

a = 3.445 Å, b = 3.445 Å, c = 5.588 Å
α = 90.00°, β = 90.00°, γ = 90.00°
Space group P4/mmm (No. 123)
One atom of each set of equivalent atoms:
Sc1 0.000 0.000 0.000 [1 per cell]
Tc1 0.000 0.000 0.500 [1 per cell]
Pt1 0.500 0.500 0.261 [2 per cell]

No. 9
The following is a DFT calculation (GGA-PBE) of a geometry-optimized ErMg7Sc3 structure.

DOS at the Fermi energy ... 0.933 states/eV per atom
Energy above the lowest structure with this stoichiometry ... 88.9 meV per atom
Calculated volume ... 26.06 A^3/atom
Total magnetization ... 0.00 μB per formula unit

a = 10.310 Å, b = 9.981 Å, c = 5.866 Å
α = 90.00°, β = 108.19°, γ = 90.00°
Space group C2/m (No. 12)
One atom of each set of equivalent atoms:
Er1 0.000 0.000 0.000 [2 per cell]
Mg1 0.000 0.000 0.500 [2 per cell]
Mg2 0.190 0.264 0.189 [8 per cell]
Mg3 0.226 0.500 0.533 [4 per cell]
Sc1 0.000 0.303 0.500 [4 per cell]
Sc2 0.000 0.500 0.000 [2 per cell]

No. 10
The following is a DFT calculation (GGA-PBE) of a geometry-optimized Ca2TmPaO6 structure.

DOS at the Fermi energy ... 0.000 states/eV per atom
Calculated volume ... 14.93 A^3/atom
Total magnetization ... 0.00 μB per formula unit
Raw formation energy ... -3.4184 eV/atom

a = 5.8562 Å, b = 5.8562 Å, c = 15.0769 Å
α = 90.00°, β = 90.00°, γ = 120.00°
Space group R3 (No. 146, hexagonal axes)
One atom of each set of equivalent atoms:
Ca1 0.0000 0.0000 0.0000 [3 per cell]
Ca2 0.0000 0.0000 0.4977 [3 per cell]
Tm1 0.0000 0.0000 0.2186 [3 per cell]
Pa1 0.0000 0.0000 0.7160 [3 per cell]
O1 0.0593 0.3526 0.7856 [9 per cell]
O2 0.0628 0.7013 0.2881 [9 per cell]

No. 11
The following is a DFT calculation (GGA-PBE) of a geometry-optimized Li3Pu2O7 structure.

DOS at the Fermi energy ... 0.767 states/eV per atom
Calculated volume ... 12.32 A^3/atom
Total magnetization ... 5.00 μB per formula unit
Raw formation energy ... -2.4294 eV/atom

a = 18.845 Å, b = 5.521 Å, c = 5.685 Å
α = 90.00°, β = 90.00°, γ = 90.00°
Space group Cmc2_1 (No. 36)
One atom of each set of equivalent atoms:
Li1 0.000 0.243 0.000 [4 per cell]
Li2 0.205 0.280 0.020 [8 per cell]
Pu1 0.107 0.249 0.487 [8 per cell]
O1 0.000 0.125 0.537 [4 per cell]
O2 0.078 0.416 0.168 [8 per cell]
O3 0.135 0.082 0.803 [8 per cell]
O4 0.203 0.367 0.430 [8 per cell]

No. 12
The following is a DFT calculation (GGA-PBE) of a geometry-optimized Li2FePd2 structure.

DOS at the Fermi energy ... 0.481 states/eV per atom
Energy above the lowest structure with this stoichiometry ... 29.1 meV per atom
Calculated volume ... 13.90 A^3/atom
Total magnetization ... 3.36 μB per formula unit

a = 6.978 Å, b = 6.978 Å, c = 2.854 Å
α = 90.00°, β = 90.00°, γ = 90.00°
Space group P4/mbm (No. 127)
One atom of each set of equivalent atoms:
Li1 0.144 0.356 0.000 [4 per cell]
Fe1 0.000 0.000 0.500 [2 per cell]
Pd1 0.155 0.655 0.500 [4 per cell]

No. 13
The following is a DFT calculation (GGA-PBE) of a geometry-optimized MoPdPt structure.

DOS at the Fermi energy ... 0.239 states/eV per atom
Energy above the lowest structure with this stoichiometry ... 739.2 meV per atom
Calculated volume ... 19.78 A^3/atom
Total magnetization ... 0.00 μB per formula unit

a = 3.8601 Å, b = 3.8601 Å, c = 27.5874 Å
α = 90.00°, β = 90.00°, γ = 120.00°
Space group R-3m (No. 166, hexagonal axes)
One atom of each set of equivalent atoms:
Mo1 0.0000 0.0000 0.0408 [6 per cell]
Pd1 0.0000 0.0000 0.1414 [6 per cell]
Pt1 0.0000 0.0000 0.2486 [6 per cell]

No. 14
The following is a DFT calculation (GGA-PBE) of a geometry-optimized BaTl3In3 structure.

DOS at the Fermi energy ... 0.336 states/eV per atom
Energy above the lowest structure with this stoichiometry ... 0.0 meV per atom
Calculated volume ... 32.62 A^3/atom
Total magnetization ... 0.00 μB per formula unit

a = 7.1090 Å, b = 7.1090 Å, c = 31.3025 Å
α = 90.00°, β = 90.00°, γ = 120.00°
Space group R-3 (No. 148, hexagonal axes)
One atom of each set of equivalent atoms:
Ba1 0.0000 0.0000 0.2010 [6 per cell]
Tl1 0.0143 0.5279 0.2312 [18 per cell]
In1 0.0533 0.6033 0.3617 [18 per cell]

No. 15
The following is a DFT calculation (GGA-PBE) of a geometry-optimized Pm2H6RuRh structure.

E ... -5.148 eV/atom
DOS at the Fermi energy ... 0.310 states/eV per atom
Calculated volume ... 10.28 A^3/atom
Total magnetization ... 0.00 μB per formula unit

a = 7.424 Å, b = 7.433 Å, c = 7.449 Å
α = 90.00°, β = 90.00°, γ = 90.00°
Space group Fmmm (No. 69)
One atom of each set of equivalent atoms:
Pm1 0.250 0.250 0.250 [8 per cell]
H1 0.000 0.000 0.246 [8 per cell]
H2 0.000 0.246 0.000 [8 per cell]
H3 0.246 0.000 0.000 [8 per cell]
Ru1 0.000 0.000 0.000 [4 per cell]
Rh1 0.000 0.000 0.500 [4 per cell]

No. 16
The following is a DFT calculation (GGA-PBE) of a geometry-optimized NiP2S structure.

DOS at the Fermi energy ... 0.023 states/eV per atom
Calculated volume ... 17.67 A^3/atom
Total magnetization ... 0.00 μB per formula unit
Raw formation energy ... 0.0751 eV/atom

a = 5.189 Å, b = 5.189 Å, c = 10.503 Å
α = 90.00°, β = 90.00°, γ = 90.00°
Space group I-42d (No. 122)
One atom of each set of equivalent atoms:
Ni1 0.000 0.000 0.000 [4 per cell]
P1 0.205 0.250 0.125 [8 per cell]
S1 0.000 0.000 0.500 [4 per cell]

No. 17
The following is a DFT calculation (GGA-PBE) of a geometry-optimized Pu3B2Rh9Au structure.

E ... -8.707 eV/atom
DOS at the Fermi energy ... 2.658 states/eV per atom
Calculated volume ... 17.37 A^3/atom
Total magnetization ... 11.97 μB per formula unit

a = 5.7694 Å, b = 5.7694 Å, c = 9.0386 Å
α = 90.00°, β = 90.00°, γ = 120.00°
Space group P-3m1 (No. 164)
One atom of each set of equivalent atoms:
Pu1 0.0000 0.0000 0.0000 [1 per cell]
Pu2 0.3333 0.6667 0.6657 [2 per cell]
B1 0.3333 0.6667 0.1427 [2 per cell]
Rh1 0.0000 0.5000 0.0000 [3 per cell]
Rh2 0.1611 0.3222 0.2630 [6 per cell]
Au1 0.0000 0.0000 0.5000 [1 per cell]

No. 18
The following is a DFT calculation (GGA-PBE) of a geometry-optimized Ba2Cd2Rh structure.

DOS at the Fermi energy ... 0.536 states/eV per atom
Energy above the lowest structure with this stoichiometry ... 0.0 meV per atom
Calculated volume ... 32.46 A^3/atom
Total magnetization ... 0.00 μB per formula unit

a = 12.499 Å, b = 4.450 Å, c = 12.597 Å
α = 90.00°, β = 112.10°, γ = 90.00°
Space group C2/m (No. 12)
One atom of each set of equivalent atoms:
Ba1 0.001 0.000 0.157 [4 per cell]
Ba2 0.200 0.000 0.637 [4 per cell]
Cd1 0.018 0.500 0.386 [4 per cell]
Cd2 0.195 0.500 0.055 [4 per cell]
Rh1 0.181 0.500 0.817 [4 per cell]

No. 19
The following is a DFT calculation (GGA-PBE) of a geometry-optimized YBe2Co2 structure.

DOS at the Fermi energy ... 0.930 states/eV per atom
Energy above the lowest structure with this stoichiometry ... 68.4 meV per atom
Calculated volume ... 13.49 A^3/atom
Total magnetization ... 0.00 μB per formula unit

a = 4.976 Å, b = 9.236 Å, c = 11.737 Å
α = 90.00°, β = 90.00°, γ = 90.00°
Space group Fddd (No. 70, origin choice 2)
One atom of each set of equivalent atoms:
Y1 0.125 0.125 0.125 [8 per cell]
Be1 0.125 0.314 0.625 [16 per cell]
Co1 0.125 0.125 0.513 [16 per cell]

No. 20
The following is a DFT calculation (GGA-PBE) of a geometry-optimized TlGaOs3 structure.

DOS at the Fermi energy ... 0.889 states/eV per atom
Energy above the lowest structure with this stoichiometry ... 0.0 meV per atom
Calculated volume ... 19.18 A^3/atom
Total magnetization ... 1.87 μB per formula unit

a = 4.578 Å, b = 4.578 Å, c = 4.578 Å
α = 90.00°, β = 90.00°, γ = 90.00°
Space group Pm-3m (No. 221)
One atom of each set of equivalent atoms:
Tl1 0.000 0.000 0.000 [1 per cell]
Ga1 0.500 0.500 0.500 [1 per cell]
Os1 0.000 0.500 0.500 [3 per cell]

No. 21
The following is a DFT calculation (GGA-PBE) of a geometry-optimized Tb3SnIr2 structure.

E ... -6.590 eV/atom
DOS at the Fermi energy ... 0.784 states/eV per atom
Calculated volume ... 26.04 A^3/atom
Total magnetization ... 0.00 μB per formula unit

a = 6.741 Å, b = 13.220 Å, c = 7.014 Å
α = 90.00°, β = 90.00°, γ = 90.00°
Space group Ibam (No. 72)
One atom of each set of equivalent atoms:
Tb1 0.000 0.000 0.250 [4 per cell]
Tb2 0.000 0.275 0.250 [8 per cell]
Sn1 0.000 0.500 0.000 [4 per cell]
Ir1 0.210 0.136 0.000 [8 per cell]